1.
DFT (PBE-GGA) results for Nb6TcOs after structural relaxation.

Geometry as CIF:
```
data_Nb6TcOs
_chemical_formula_sum 'Nb6 Tc1 Os1'
_cell_length_a 5.177
_cell_length_b 5.181
_cell_length_c 5.182
_cell_angle_alpha 89.94
_cell_angle_beta 89.94
_cell_angle_gamma 90.00
_space_group_name_H-M_alt 'P 1'
_space_group_IT_number 1
loop_
_space_group_symop_operation_xyz
'x,y,z'
loop_
_atom_site_label
_atom_site_type_symbol
_atom_site_fract_x
_atom_site_fract_y
_atom_site_fract_z
Nb1 Nb 0.000 0.000 0.250
Nb2 Nb 0.000 0.000 0.750
Nb3 Nb 0.250 0.500 0.000
Nb4 Nb 0.500 0.250 0.500
Nb5 Nb 0.500 0.750 0.500
Nb6 Nb 0.750 0.500 0.000
Tc1 Tc 0.500 0.000 0.000
Os1 Os 0.000 0.500 0.500
```

**Crystal system**: triclinic
**Space group**: P-1
**ΔH_f (0 K)**: -0.197 eV per atom
**Energy above the most stable polymorph in this dataset**: 35 meV/atom
**E_tot**: -10.449 eV per atom

2.
DFT (PBE-GGA) results for Nb6Tc5Os after structural relaxation.

Geometry as CIF:
```
data_Nb6Tc5Os
_chemical_formula_sum 'Nb6 Tc5 Os1'
_cell_length_a 7.815
_cell_length_b 7.815
_cell_length_c 7.815
_cell_angle_alpha 146.42
_cell_angle_beta 131.76
_cell_angle_gamma 60.05
_space_group_name_H-M_alt 'P 1'
_space_group_IT_number 1
loop_
_space_group_symop_operation_xyz
'x,y,z'
loop_
_atom_site_label
_atom_site_type_symbol
_atom_site_fract_x
_atom_site_fract_y
_atom_site_fract_z
Nb1 Nb 0.082 0.333 0.749
Nb2 Nb 0.248 0.000 0.248
Nb3 Nb 0.417 0.667 0.749
Nb4 Nb 0.583 0.333 0.251
Nb5 Nb 0.752 0.000 0.752
Nb6 Nb 0.918 0.667 0.251
Tc1 Tc 0.000 0.500 0.500
Tc2 Tc 0.167 0.167 0.000
Tc3 Tc 0.334 0.834 0.500
Tc4 Tc 0.666 0.166 0.500
Tc5 Tc 0.833 0.833 0.000
Os1 Os 0.500 0.500 0.000
```

**Crystal system**: orthorhombic
**Space group**: Immm
**ΔH_f (0 K)**: -0.326 eV per atom
**E_tot**: -10.616 eV per atom